(1)
Li2TiMn3O8 after structural relaxation, computed with PBE with a Hubbard U.

The structure in extended XYZ format:
```
42
Lattice="5.804 0.000 0.000 -0.009 8.817 0.000 -2.793 -4.341 9.101" Properties=species:S:1:pos:R:3 pbc="T T T"
Li 0.000 0.000 0.000
Li -1.401 2.238 4.550
Li -1.336 -2.135 7.626
Li 0.279 0.045 6.056
Li 2.723 4.431 3.044
Li 4.338 6.611 1.475
Ti 0.020 0.009 3.022
Ti 2.898 4.408 0.000
Ti 2.981 4.467 6.079
Mn -1.397 -2.170 4.550
Mn -0.004 4.408 0.000
Mn -1.389 2.255 7.624
Mn 0.041 4.444 6.071
Mn 1.489 2.233 1.553
Mn 1.505 -2.170 4.550
Mn 1.513 2.243 7.548
Mn 2.961 0.032 3.030
Mn 4.391 2.221 1.477
O -1.442 4.306 4.783
O 0.089 2.163 0.226
O -1.445 4.605 7.384
O 0.013 2.042 2.822
O 0.033 6.818 3.235
O -1.341 -0.012 7.826
O 0.049 -2.106 5.839
O 1.467 4.191 1.373
O 0.029 2.198 6.299
O 1.517 0.288 1.715
O 0.095 2.079 8.910
O 1.519 -0.228 4.360
O 1.483 4.704 4.740
O 2.907 2.397 0.191
O 1.484 4.188 7.386
O 2.972 2.278 2.802
O 1.535 0.285 7.728
O 2.953 6.582 3.262
O 4.343 4.488 1.275
O 2.969 -2.342 5.866
O 2.989 2.433 6.279
O 4.446 -0.129 1.717
O 2.913 2.313 8.875
O 4.444 0.170 4.318
```

Summary:
Space-group type: P-1
Uncorrected energy in eV per atom: -7.204
Polymorph energy (0 for the lowest one) in meV per atom: 46.6
Size of the total moment in Bohr magnetons per cell: 33.00



(2)
Li3TiMn2O6 after structural relaxation, computed with PBE with a Hubbard U.

The structure in extended XYZ format:
```
12
Lattice="6.951 -1.477 0.000 6.951 1.477 0.000 -1.177 0.000 5.812" Properties=species:S:1:pos:R:3 pbc="T T T"
Li 0.000 0.000 0.000
Li 3.617 0.000 3.705
Li 8.726 0.000 1.808
Ti 8.113 0.000 4.746
Mn 4.385 0.000 0.854
Mn 13.197 0.000 2.752
O 2.153 0.000 0.262
O 1.590 0.000 3.470
O 6.564 0.000 1.344
O 6.288 0.000 4.320
O 10.217 0.000 5.289
O 11.031 0.000 2.191
```

Summary:
Space-group type: Cm
Uncorrected energy in eV per atom: -6.983
Polymorph energy (0 for the lowest one) in meV per atom: 2.0
Size of the total moment in Bohr magnetons per cell: 9.00



(3)
Li2TiMn3O8 after structural relaxation, computed with PBE with a Hubbard U.

The structure in extended XYZ format:
```
28
Lattice="2.901 -5.273 0.000 2.901 5.273 0.000 0.000 0.000 9.533" Properties=species:S:1:pos:R:3 pbc="T T T"
Li 2.901 5.145 4.766
Li 2.901 1.640 5.677
Li 2.901 -1.640 0.911
Li 2.901 -5.145 0.000
Ti 2.901 1.946 9.525
Ti 2.901 -1.946 4.758
Mn 1.470 0.862 2.641
Mn 2.901 3.425 2.658
Mn 1.470 -0.862 7.408
Mn 4.333 0.862 2.641
Mn 2.901 -3.425 7.425
Mn 4.333 -0.862 7.408
O 2.901 5.169 1.805
O 1.652 2.691 1.424
O 1.426 1.118 8.618
O 2.901 3.672 8.537
O 2.901 1.748 3.628
O 1.426 -1.118 3.851
O 4.151 2.691 1.424
O 2.901 0.288 1.435
O 2.901 -0.288 6.201
O 1.652 -2.691 6.190
O 4.377 1.118 8.618
O 2.901 -1.748 8.395
O 2.901 -3.672 3.770
O 4.377 -1.118 3.851
O 4.151 -2.691 6.190
O 2.901 -5.169 6.572
```

Summary:
Space-group type: Cmc2_1
Uncorrected energy in eV per atom: -7.251
Polymorph energy (0 for the lowest one) in meV per atom: 0.0
Size of the total moment in Bohr magnetons per cell: 22.00